NpAl3Si: optimized geometry, PBE.

Lattice parameters (Å, degrees): 5.762 11.182 5.736 90.00 90.00 90.00
Space group Cmcm (No. 63)
One atom of each set of equivalent atoms:
Np1 0.000 0.246 0.250
Al1 0.000 0.359 0.750
Al2 0.244 0.000 0.000
Si1 0.000 0.145 0.750

Summary:
Electronic total energy (eV per atom): -5.987